<one>
VASP calculation (GGA-PBEsol) on crystalline FePbCl2 at its relaxed geometry. Values from VASP.

```
&SYSTEM
  ibrav = 0, nat = 4, ntyp = 3
/
ATOMIC_SPECIES
Pb 207.20 Pb.upf
Fe 55.84 Fe.upf
Cl 35.45 Cl.upf
CELL_PARAMETERS angstrom
3.2814 0.0000 0.0000
0.0000 4.5116 0.0000
0.0000 0.0000 5.6801
ATOMIC_POSITIONS angstrom
Pb 0.0000 2.2558 2.8400
Fe 1.6407 2.2558 0.0000
Cl 0.0000 0.0000 0.0000
Cl 1.6407 0.0000 2.8400
```


<two>
VASP calculation (GGA-PBEsol) on crystalline FePbCl2 at its relaxed geometry. Values from VASP.

```
&SYSTEM
  ibrav = 0, nat = 4, ntyp = 3
/
ATOMIC_SPECIES
Pb 207.20 Pb.upf
Fe 55.84 Fe.upf
Cl 35.45 Cl.upf
CELL_PARAMETERS angstrom
-2.6657 -1.4687 0.5938
1.5456 -2.6663 0.3437
0.9616 1.6352 8.3611
ATOMIC_POSITIONS angstrom
Pb -0.0793 -1.2499 4.6493
Fe -0.5601 -2.0675 0.4688
Cl 0.7950 1.3519 6.9124
Cl 0.1666 0.2833 1.4487
```


Here are the energies relative to the best structure, in eV/atom: <one> 0.225; <two> 0.000.


<one>
VASP calculation (GGA-PBEsol) on crystalline FePtCl2 at its relaxed geometry. Values from VASP.

```
&SYSTEM
  ibrav = 0, nat = 4, ntyp = 3
/
ATOMIC_SPECIES
Fe 55.84 Fe.upf
Pt 195.08 Pt.upf
Cl 35.45 Cl.upf
CELL_PARAMETERS angstrom
-3.1120 -0.4215 0.5589
1.9316 -1.4965 2.0504
-0.0247 6.5918 4.8341
ATOMIC_POSITIONS angstrom
Fe -0.0118 3.1661 2.3219
Pt -0.5971 0.8759 2.6503
Cl -0.0016 0.4409 0.3233
Cl -0.6068 3.4868 4.5650
```


<two>
VASP calculation (GGA-PBEsol) on crystalline FePtCl2 at its relaxed geometry. Values from VASP.

```
&SYSTEM
  ibrav = 0, nat = 4, ntyp = 3
/
ATOMIC_SPECIES
Fe 55.84 Fe.upf
Pt 195.08 Pt.upf
Cl 35.45 Cl.upf
CELL_PARAMETERS angstrom
2.9545 0.0000 0.0000
0.0000 3.9759 0.0000
0.0000 0.0000 5.5545
ATOMIC_POSITIONS angstrom
Fe 1.4772 1.9879 0.0000
Pt 0.0000 1.9879 2.7773
Cl 0.0000 0.0000 0.0000
Cl 1.4772 0.0000 2.7773
```


<three>
VASP calculation (GGA-PBEsol) on crystalline FePtCl2 at its relaxed geometry. Values from VASP.

```
&SYSTEM
  ibrav = 0, nat = 4, ntyp = 3
/
ATOMIC_SPECIES
Fe 55.84 Fe.upf
Pt 195.08 Pt.upf
Cl 35.45 Cl.upf
CELL_PARAMETERS angstrom
-2.9124 -0.4875 -3.3912
-2.2927 -3.8408 -0.4600
-4.4189 -0.0935 0.8272
ATOMIC_POSITIONS angstrom
Fe -4.8120 -2.2109 -1.5120
Pt -7.2180 -3.3163 -2.2680
Cl 0.0000 0.0000 0.0000
Cl -2.4060 -1.1054 -0.7560
```


<four>
VASP calculation (GGA-PBEsol) on crystalline FePtCl2 at its relaxed geometry. Values from VASP.

```
&SYSTEM
  ibrav = 0, nat = 4, ntyp = 3
/
ATOMIC_SPECIES
Fe 55.84 Fe.upf
Pt 195.08 Pt.upf
Cl 35.45 Cl.upf
CELL_PARAMETERS angstrom
-2.0944 3.2435 -2.2013
-2.1807 -3.7188 1.0818
-3.1436 0.1012 3.1400
ATOMIC_POSITIONS angstrom
Fe -2.6190 1.6723 0.4694
Pt 0.0000 0.0000 0.0000
Cl -2.3999 -1.0232 0.7756
Cl -5.0189 0.6491 1.2450
```


Here are the energies relative to the best structure, in eV/atom: <one> 0.000; <two> 0.315; <three> 0.579; <four> 0.566.


<one>
VASP calculation (GGA-PBEsol) on crystalline FePtCl at its relaxed geometry. Values from VASP.

```
&SYSTEM
  ibrav = 0, nat = 3, ntyp = 3
/
ATOMIC_SPECIES
Fe 55.84 Fe.upf
Pt 195.08 Pt.upf
Cl 35.45 Cl.upf
CELL_PARAMETERS angstrom
-1.6712 1.9842 -1.1596
0.3146 -1.2227 -2.5457
-4.0643 -3.7672 2.8931
ATOMIC_POSITIONS angstrom
Fe -2.2245 -0.7234 -1.5134
Pt -2.8776 -2.0548 0.6313
Cl -0.3188 -0.2276 0.0699
```


<two>
VASP calculation (GGA-PBEsol) on crystalline FePtCl at its relaxed geometry. Values from VASP.

```
&SYSTEM
  ibrav = 0, nat = 3, ntyp = 3
/
ATOMIC_SPECIES
Fe 55.84 Fe.upf
Pt 195.08 Pt.upf
Cl 35.45 Cl.upf
CELL_PARAMETERS angstrom
-0.6340 2.8358 0.0347
-0.4545 -1.6196 2.3696
5.9444 1.3041 2.0316
ATOMIC_POSITIONS angstrom
Fe 3.5485 0.7568 2.9798
Pt 1.6722 1.8435 1.5808
Cl 5.5796 1.2240 1.9069
```


Here are the energies relative to the best structure, in eV/atom: <one> 0.089; <two> 0.000.


<one>
VASP calculation (GGA-PBEsol) on crystalline Fe2RhCl at its relaxed geometry. Values from VASP.

```
&SYSTEM
  ibrav = 0, nat = 4, ntyp = 3
/
ATOMIC_SPECIES
Cl 35.45 Cl.upf
Fe 55.84 Fe.upf
Rh 102.91 Rh.upf
CELL_PARAMETERS angstrom
-2.4418 1.4439 0.5520
-0.6268 0.0463 -2.8938
-3.3198 -5.8568 0.6340
ATOMIC_POSITIONS angstrom
Cl -2.0754 -0.6311 0.0354
Fe -3.2698 -5.6271 0.2549
Fe -4.1185 -3.6731 -1.0457
Rh -1.9046 -3.2204 -0.0015
```


<two>
VASP calculation (GGA-PBEsol) on crystalline Fe2RhCl at its relaxed geometry. Values from VASP.

```
&SYSTEM
  ibrav = 0, nat = 4, ntyp = 3
/
ATOMIC_SPECIES
Cl 35.45 Cl.upf
Fe 55.84 Fe.upf
Rh 102.91 Rh.upf
CELL_PARAMETERS angstrom
-0.9642 2.1001 1.5990
-3.6309 -2.1625 0.6509
4.0053 -1.8017 2.3122
ATOMIC_POSITIONS angstrom
Cl -1.8155 -1.0813 0.3254
Fe -1.5079 -0.8787 2.7142
Fe 0.9182 -0.9854 1.8479
Rh -0.4821 1.0501 0.7995
```


Here are the energies relative to the best structure, in eV/atom: <one> 0.000; <two> 0.299.


<one>
VASP calculation (GGA-PBEsol) on crystalline FeRuCl2 at its relaxed geometry. Values from VASP.

```
&SYSTEM
  ibrav = 0, nat = 4, ntyp = 3
/
ATOMIC_SPECIES
Ru 101.07 Ru.upf
Fe 55.84 Fe.upf
Cl 35.45 Cl.upf
CELL_PARAMETERS angstrom
-1.7491 -1.5732 -1.6869
2.7270 -3.6743 -1.8847
-0.6633 -4.3512 2.2619
ATOMIC_POSITIONS angstrom
Ru 1.0318 -4.0127 0.1886
Fe -0.8745 -0.7866 -0.8434
Cl 1.0879 -6.3741 -0.1511
Cl -0.7733 -3.2246 -1.1586
```


<two>
VASP calculation (GGA-PBEsol) on crystalline FeRuCl2 at its relaxed geometry. Values from VASP.

```
&SYSTEM
  ibrav = 0, nat = 4, ntyp = 3
/
ATOMIC_SPECIES
Ru 101.07 Ru.upf
Fe 55.84 Fe.upf
Cl 35.45 Cl.upf
CELL_PARAMETERS angstrom
2.8672 0.0000 0.0000
0.0000 2.8672 0.0000
0.0000 0.0000 7.6607
ATOMIC_POSITIONS angstrom
Ru 1.4336 1.4336 5.5405
Fe 0.0000 0.0000 3.9623
Cl 0.0000 0.0000 7.1259
Cl 1.4336 1.4336 2.5230
```


<three>
VASP calculation (GGA-PBEsol) on crystalline FeRuCl2 at its relaxed geometry. Values from VASP.

```
&SYSTEM
  ibrav = 0, nat = 4, ntyp = 3
/
ATOMIC_SPECIES
Ru 101.07 Ru.upf
Fe 55.84 Fe.upf
Cl 35.45 Cl.upf
CELL_PARAMETERS angstrom
3.4447 0.0000 0.0000
0.0000 3.4447 0.0000
-1.7224 -1.7224 5.0984
ATOMIC_POSITIONS angstrom
Ru 0.0000 1.7224 2.5492
Fe 1.7224 1.7224 0.0000
Cl 0.0000 0.0000 0.0000
Cl 1.7224 0.0000 2.5492
```


Here are the energies relative to the best structure, in eV/atom: <one> 0.396; <two> 0.000; <three> 0.507.


<one>
VASP calculation (GGA-PBEsol) on crystalline Fe2RuCl at its relaxed geometry. Values from VASP.

```
&SYSTEM
  ibrav = 0, nat = 4, ntyp = 3
/
ATOMIC_SPECIES
Cl 35.45 Cl.upf
Fe 55.84 Fe.upf
Ru 101.07 Ru.upf
CELL_PARAMETERS angstrom
2.8357 0.0000 0.0000
0.0000 2.8357 0.0000
0.0000 0.0000 6.4127
ATOMIC_POSITIONS angstrom
Cl 1.4178 1.4178 4.9268
Fe 0.0000 0.0000 0.1157
Fe 1.4178 1.4178 1.5961
Ru 0.0000 0.0000 2.9805
```


<two>
VASP calculation (GGA-PBEsol) on crystalline Fe2RuCl at its relaxed geometry. Values from VASP.

```
&SYSTEM
  ibrav = 0, nat = 4, ntyp = 3
/
ATOMIC_SPECIES
Cl 35.45 Cl.upf
Fe 55.84 Fe.upf
Ru 101.07 Ru.upf
CELL_PARAMETERS angstrom
-1.9954 -1.4130 1.2682
2.5601 -1.0083 0.1260
1.3101 4.1641 6.7006
ATOMIC_POSITIONS angstrom
Cl 0.5866 -0.2436 2.2531
Fe 1.3067 4.1532 6.6829
Fe 1.2758 1.9470 5.7781
Ru 0.6710 2.1326 3.4316
```


<three>
VASP calculation (GGA-PBEsol) on crystalline Fe2RuCl at its relaxed geometry. Values from VASP.

```
&SYSTEM
  ibrav = 0, nat = 4, ntyp = 3
/
ATOMIC_SPECIES
Cl 35.45 Cl.upf
Fe 55.84 Fe.upf
Ru 101.07 Ru.upf
CELL_PARAMETERS angstrom
2.7420 0.0000 0.0000
0.0000 4.3131 0.0000
-1.3710 -2.1565 4.2405
ATOMIC_POSITIONS angstrom
Cl 0.0000 2.1565 2.1556
Fe 1.3710 2.1565 4.0817
Fe 1.3710 0.0000 2.1130
Ru 1.3710 2.1565 0.1308
```


Here are the energies relative to the best structure, in eV/atom: <one> 0.000; <two> 0.086; <three> 0.226.


<one>
VASP calculation (GGA-PBEsol) on crystalline Fe2SeCl at its relaxed geometry. Values from VASP.

```
&SYSTEM
  ibrav = 0, nat = 4, ntyp = 3
/
ATOMIC_SPECIES
Fe 55.84 Fe.upf
Se 78.96 Se.upf
Cl 35.45 Cl.upf
CELL_PARAMETERS angstrom
2.9883 0.0000 0.0000
0.0000 4.4090 0.0000
0.0000 0.0000 4.4090
ATOMIC_POSITIONS angstrom
Fe 0.0000 0.0000 2.2045
Fe 0.0000 2.2045 0.0000
Se 1.4941 2.2045 2.2045
Cl 1.4941 0.0000 0.0000
```


<two>
VASP calculation (GGA-PBEsol) on crystalline Fe2SeCl at its relaxed geometry. Values from VASP.

```
&SYSTEM
  ibrav = 0, nat = 4, ntyp = 3
/
ATOMIC_SPECIES
Fe 55.84 Fe.upf
Se 78.96 Se.upf
Cl 35.45 Cl.upf
CELL_PARAMETERS angstrom
2.9851 0.0000 0.0000
1.4925 4.7766 0.0915
1.4925 0.9418 4.6837
ATOMIC_POSITIONS angstrom
Fe 2.9851 4.2716 3.5670
Fe 2.9851 1.4468 1.2082
Se 1.4925 0.0000 0.0000
Cl 1.4925 2.8592 2.3876
```


Here are the energies relative to the best structure, in eV/atom: <one> 0.000; <two> 0.021.


<one>
VASP calculation (GGA-PBEsol) on crystalline FeSiCl2 at its relaxed geometry. Values from VASP.

```
&SYSTEM
  ibrav = 0, nat = 4, ntyp = 3
/
ATOMIC_SPECIES
Cl 35.45 Cl.upf
Fe 55.84 Fe.upf
Si 28.09 Si.upf
CELL_PARAMETERS angstrom
-1.1767 2.2393 -1.6864
-1.0675 -2.9515 -0.4339
-5.9498 1.2898 5.8640
ATOMIC_POSITIONS angstrom
Cl -4.2208 0.9150 4.1600
Cl -1.7289 0.3748 1.7040
Fe -3.5632 1.7645 2.0888
Si -0.5883 1.1196 -0.8432
```


<two>
VASP calculation (GGA-PBEsol) on crystalline FeSiCl2 at its relaxed geometry. Values from VASP.

```
&SYSTEM
  ibrav = 0, nat = 4, ntyp = 3
/
ATOMIC_SPECIES
Cl 35.45 Cl.upf
Fe 55.84 Fe.upf
Si 28.09 Si.upf
CELL_PARAMETERS angstrom
2.9770 0.0000 0.0000
0.0000 2.9770 0.0000
0.0000 0.0000 7.6465
ATOMIC_POSITIONS angstrom
Cl 0.0000 0.0000 7.1341
Cl 1.4885 1.4885 2.5941
Fe 0.0000 0.0000 3.9656
Si 1.4885 1.4885 5.4223
```


<three>
VASP calculation (GGA-PBEsol) on crystalline FeSiCl2 at its relaxed geometry. Values from VASP.

```
&SYSTEM
  ibrav = 0, nat = 4, ntyp = 3
/
ATOMIC_SPECIES
Cl 35.45 Cl.upf
Fe 55.84 Fe.upf
Si 28.09 Si.upf
CELL_PARAMETERS angstrom
-0.0695 1.7164 2.5126
1.6352 -3.4451 2.3986
4.5725 2.6568 -3.5320
ATOMIC_POSITIONS angstrom
Cl 0.4665 0.1561 -0.0938
Cl 3.5042 2.0427 0.5450
Fe 5.1186 1.7132 -1.0288
Si 2.4045 -1.1914 0.8804
```


<four>
VASP calculation (GGA-PBEsol) on crystalline FeSiCl2 at its relaxed geometry. Values from VASP.

```
&SYSTEM
  ibrav = 0, nat = 4, ntyp = 3
/
ATOMIC_SPECIES
Cl 35.45 Cl.upf
Fe 55.84 Fe.upf
Si 28.09 Si.upf
CELL_PARAMETERS angstrom
3.5723 0.0000 0.0000
0.0000 3.5723 0.0000
-1.7861 -1.7861 5.6381
ATOMIC_POSITIONS angstrom
Cl 0.0000 0.0000 0.0000
Cl 1.7861 0.0000 2.8191
Fe 1.7861 1.7861 0.0000
Si 0.0000 1.7861 2.8191
```


Here are the energies relative to the best structure, in eV/atom: <one> 0.188; <two> 0.000; <three> 0.079; <four> 0.524.